Sr2TcNiO6 (PBE+U, relaxed); raw total energy = -0.243 Ha/atom; M_tot = 3.01 μB per formula unit; SG = No. 225
1.0
5.615 -0.002 0.000
-0.002 5.615 -0.001
2.806 2.806 3.970
O Tc Sr Ni
6 1 2 1
Cartesian
7.058 4.170 3.969
1.362 4.250 0.001
5.615 5.616 1.928
2.806 2.804 2.041
4.249 4.250 0.001
4.171 4.169 3.968
0.000 0.000 0.000
2.806 5.614 1.985
5.614 2.805 1.985
2.807 2.807 0.000



SrTc2NiO8 (PBE+U, relaxed); raw total energy = -0.256 Ha/atom; M_tot = 4.05 μB per formula unit; SG = No. 12
1.0
5.245 -0.253 -0.048
2.195 4.770 -0.048
0.287 0.174 7.339
Sr Tc O Ni
1 2 8 1
Cartesian
0.143 0.087 3.670
4.760 2.890 1.557
2.968 1.802 5.686
3.127 3.677 1.481
5.419 3.290 3.160
4.705 1.078 1.481
4.600 1.014 5.762
2.308 1.402 4.084
5.729 3.479 0.208
3.022 3.614 5.762
1.998 1.213 7.036
0.000 0.000 0.000



SrNiTeO6 (PBE+U, relaxed); raw total energy = -0.202 Ha/atom; M_tot = 0.00 μB per formula unit; SG = No. 149
1.0
-0.739 -3.961 -3.083
1.250 -4.673 1.530
-5.037 -0.670 2.068
O Te Ni Sr
6 1 1 1
Cartesian
-1.023 -4.641 0.400
-0.744 -7.312 0.214
-1.776 -5.921 -1.846
-3.467 -7.317 -0.657
-2.560 -6.619 1.779
-3.499 -4.734 0.102
-2.348 -3.213 0.516
-2.178 -6.091 -0.001
-5.776 -4.631 -1.015



SrNiTe2O8 (PBE+U, relaxed); raw total energy = -0.190 Ha/atom; M_tot = 2.00 μB per formula unit; SG = No. 119
1.0
6.288 0.029 0.000
-2.763 5.648 0.000
-1.762 -2.839 5.327
O Te Sr Ni
8 2 1 1
Cartesian
0.265 -1.521 4.299
2.992 1.580 3.618
1.673 -0.544 1.709
3.243 3.276 1.027
3.296 -1.552 3.618
-0.265 1.521 4.299
0.282 2.401 1.027
4.615 0.573 1.709
3.144 0.014 2.663
1.762 2.839 0.000
0.000 0.000 0.000
-1.382 2.824 2.663



Sr3NiTe2O9 (PBE+U, relaxed); raw total energy = -0.211 Ha/atom; M_tot = 1.84 μB per formula unit; SG = No. 164
1.0
-2.550 -4.413 -2.753
0.493 -0.083 5.771
-6.297 3.274 0.585
O Te Ni Sr
9 2 1 3
Cartesian
-2.126 0.272 4.515
-3.373 -1.887 3.168
-1.029 -2.248 1.509
0.247 -0.042 2.886
-5.987 -1.535 1.912
-2.367 0.312 1.692
-4.981 0.664 0.435
-6.228 -1.494 -0.911
-1.275 -2.207 -1.376
-1.653 -0.938 3.035
-6.701 -0.284 0.569
-3.148 1.637 0.293
0.000 0.000 0.000
-4.662 0.626 3.315
-3.692 -1.849 0.289



SrNi2TeO6 (PBE+U, relaxed); raw total energy = -0.200 Ha/atom; M_tot = 4.00 μB per formula unit; SG = No. 146
1.0
-0.825 -0.245 -5.338
-4.540 -2.202 -1.935
-3.976 3.571 -2.289
O Sr Te Ni
6 1 1 2
Cartesian
-4.295 -0.701 -6.642
-2.543 0.092 -4.102
-6.575 1.087 -4.979
-5.368 -1.326 -3.709
-4.763 1.939 -3.355
-4.431 2.184 -5.900
-6.692 0.216 -7.190
-1.855 -0.682 -2.420
-4.525 0.271 -4.790
-3.903 3.425 -2.294



Sr2NiTeO (PBE+U, relaxed); raw total energy = -0.108 Ha/atom; M_tot = 0.00 μB per formula unit; SG = No. 123
1.0
-4.593 0.218 3.985
2.742 -1.520 3.243
1.500 5.725 1.415
Sr Ni Te O
2 1 1 1
Cartesian
0.750 2.863 0.708
-2.297 0.109 1.993
1.371 -0.760 1.622
0.000 0.000 0.000
-0.176 2.212 4.322



Sr2TlNiO (PBE+U, relaxed); raw total energy = -0.122 Ha/atom; M_tot = 0.95 μB per formula unit; SG = No. 123
1.0
4.970 0.000 0.000
0.000 5.290 0.000
0.000 0.000 4.970
Ni Sr O Tl
1 2 1 1
Cartesian
2.485 2.645 2.485
0.000 0.000 2.485
2.485 0.000 0.000
0.000 0.000 0.000
0.000 2.645 0.000



Sr2YTlNi2O7 (PBE+U, relaxed); raw total energy = -0.218 Ha/atom; M_tot = 3.31 μB per formula unit; SG = No. 123
1.0
-3.517 1.427 -0.672
-1.577 -3.152 1.559
0.088 5.329 10.862
Ni Tl O Sr Y
2 1 7 2 1
Cartesian
0.058 3.463 7.058
0.031 1.866 3.804
0.000 0.000 0.000
-2.547 -0.862 0.444
-0.755 0.450 4.910
-0.734 1.726 7.511
-1.725 2.740 3.795
0.016 0.970 1.978
0.072 4.358 8.884
-1.704 4.016 6.396
-2.477 3.349 9.029
-2.528 0.254 2.720
-2.503 1.802 5.875



Sr12Tm3Ni5O24 (PBE+U, relaxed); raw total energy = -0.224 Ha/atom; M_tot = 9.00 μB per formula unit; SG = No. 5
1.0
6.757 0.000 0.000
-0.314 6.750 0.000
0.622 0.652 13.473
Sr O Tm Ni
12 24 3 5
Cartesian
2.674 1.902 4.217
0.515 5.959 0.000
1.888 2.954 7.641
5.002 4.237 2.404
3.065 2.208 11.068
4.570 5.650 12.622
6.058 0.974 3.261
6.373 1.305 10.211
1.633 2.574 0.849
0.812 6.298 6.736
4.202 5.378 5.831
5.290 4.642 9.255
3.984 1.970 1.884
5.282 3.330 11.588
2.894 5.219 8.145
0.787 2.011 12.382
0.888 3.572 9.936
6.414 5.534 4.433
4.266 2.373 8.733
3.342 0.959 6.441
3.538 6.349 3.536
2.653 4.892 1.399
6.759 5.870 11.210
1.835 0.737 9.038
6.064 3.587 0.178
3.837 6.632 10.417
3.763 1.177 13.294
0.619 3.260 3.055
1.987 4.268 5.327
0.452 1.744 5.652
2.302 4.524 12.073
4.893 3.030 4.739
6.262 4.018 7.030
5.093 6.522 1.090
1.516 0.377 2.262
5.345 6.869 7.820
5.267 2.045 6.736
1.601 5.231 3.333
1.915 5.560 10.139
6.816 3.636 5.035
5.037 1.642 0.000
7.146 3.903 11.825
3.499 0.082 1.647
3.750 0.424 8.437



SrUNiO6 (PBE+U, relaxed); raw total energy = -0.261 Ha/atom; M_tot = 0.03 μB per formula unit; SG = No. 102
1.0
5.127 0.000 0.000
0.000 5.127 0.000
0.000 0.000 9.938
O Ni U Sr
12 2 2 2
Cartesian
3.635 3.635 6.944
1.496 1.496 2.984
4.056 1.071 1.975
1.492 1.492 6.944
0.858 4.270 4.938
3.632 3.632 2.984
4.270 0.858 4.938
3.421 3.421 9.907
4.059 1.068 7.953
1.071 4.056 1.975
1.706 1.706 9.907
1.068 4.059 7.953
0.000 0.000 3.331
2.564 2.564 8.300
2.564 2.564 1.644
0.000 0.000 6.613
2.564 2.564 5.045
0.000 0.000 0.076



SrU2NiO8 (PBE+U, relaxed); raw total energy = -0.305 Ha/atom; M_tot = 2.01 μB per formula unit; SG = No. 65
1.0
-3.192 -3.791 -0.686
1.808 -2.666 3.839
-4.610 3.099 4.324
Sr O U Ni
1 8 2 1
Cartesian
-2.305 1.550 2.162
-0.258 -2.225 3.819
-0.442 -2.058 1.003
-3.137 -2.880 1.219
-3.228 -2.765 4.271
-5.737 -1.132 3.657
-5.553 -1.300 6.473
-2.858 -0.477 6.257
-2.767 -0.593 3.205
-4.186 -0.880 4.853
-1.809 -2.478 2.623
0.000 0.000 0.000



SrVNiO4 (PBE+U, relaxed); raw total energy = -0.235 Ha/atom; M_tot = 1.00 μB per formula unit; SG = No. 11
1.0
6.201 0.000 0.293
0.000 5.690 0.000
-2.030 0.000 5.791
O Ni Sr V
8 2 2 2
Cartesian
1.878 1.422 5.270
-0.082 2.933 1.668
4.253 2.757 4.416
2.529 1.422 2.445
-0.082 5.602 1.668
2.292 4.267 0.814
4.253 0.088 4.416
1.642 4.267 3.639
4.914 4.267 3.284
-0.743 1.422 2.800
1.544 1.422 0.202
2.627 4.267 5.882
1.074 4.267 2.048
3.096 1.422 4.036



Sr2V11NiO22 (PBE+U, relaxed); raw total energy = -0.278 Ha/atom; M_tot = 19.00 μB per formula unit; SG = No. 38
1.0
-0.054 3.552 4.700
-3.316 -4.869 0.064
10.098 -6.808 5.262
V O Ni Sr
11 22 1 2
Cartesian
4.258 -8.220 6.360
0.836 -2.383 3.689
-1.135 0.762 3.164
5.721 -10.924 4.784
3.952 0.787 6.769
5.931 -7.566 3.995
5.877 -5.781 6.315
-2.232 -5.562 0.639
0.833 -4.130 1.339
-0.840 -4.784 3.704
5.998 -0.592 7.835
2.739 -1.879 3.381
6.176 -2.402 7.461
0.453 -0.388 3.969
2.737 -0.083 5.669
7.225 -6.730 5.255
-0.549 0.313 1.460
5.654 -7.345 7.477
2.184 -7.109 3.336
-1.075 -4.492 1.753
1.160 -4.271 3.396
-1.051 -2.825 3.983
1.130 -2.507 5.655
0.521 -2.210 1.761
-2.339 -0.386 3.989
4.079 -4.334 3.289
4.546 -4.810 7.435
-0.556 2.256 3.986
4.527 -6.541 5.151
2.146 -5.090 6.022
7.327 -5.022 7.551
6.154 -4.181 5.161
5.701 -9.060 5.284
2.820 -5.468 4.239
-2.212 -2.019 1.633
3.904 -2.669 5.780



SrZnNiO3 (PBE+U, relaxed); raw total energy = -0.184 Ha/atom; M_tot = 2.00 μB per formula unit; SG = No. 63
1.0
5.513 0.000 0.000
0.000 5.492 0.000
0.000 -2.746 5.241
Sr Ni O Zn
2 2 6 2
Cartesian
1.378 2.746 2.873
4.135 0.000 2.368
4.135 2.746 0.524
1.378 0.000 4.718
1.378 0.000 2.693
2.757 4.138 0.000
0.000 1.354 0.000
0.000 4.138 0.000
4.135 2.746 2.548
2.757 1.354 0.000
4.135 2.746 4.512
1.378 0.000 0.729



Ta2NiO6 (PBE+U, relaxed); energy relative to the lowest polymorph listed for this composition = 0 meV per atom; raw total energy = -0.320 Ha/atom; M_tot = 2.01 μB per formula unit; SG = No. 136
1.0
4.780 0.000 0.000
0.000 4.780 0.000
0.000 0.000 9.185
O Ta Ni
12 4 2
Cartesian
0.906 3.874 4.592
1.484 1.484 0.000
3.361 3.361 6.200
3.874 0.906 4.592
0.971 3.809 1.608
3.296 3.296 0.000
3.361 3.361 2.984
3.809 0.971 7.576
0.971 3.809 7.576
3.809 0.971 1.608
1.419 1.419 6.200
1.419 1.419 2.984
0.000 0.000 3.043
2.390 2.390 7.635
0.000 0.000 6.142
2.390 2.390 1.549
2.390 2.390 4.592
0.000 0.000 0.000



Ta2NiO (PBE+U, relaxed); raw total energy = -0.289 Ha/atom; M_tot = 0.00 μB per formula unit; SG = No. 122
1.0
4.763 0.000 0.000
0.000 4.763 0.000
2.381 2.381 5.620
Ta O Ni
4 2 2
Cartesian
3.572 3.881 4.215
1.499 3.572 1.405
3.263 1.191 1.405
5.953 5.645 4.215
2.381 2.381 0.000
2.381 4.763 2.810
0.000 0.000 0.000
4.763 2.381 2.810



TaNi3O (PBE+U, relaxed); energy relative to the lowest polymorph listed for this composition = 0 meV per atom; raw total energy = -0.159 Ha/atom; M_tot = 0.01 μB per formula unit; SG = No. 221
1.0
3.959 0.000 0.000
0.000 3.959 0.000
0.000 0.000 3.959
Ni O Ta
3 1 1
Cartesian
0.000 1.980 0.000
0.000 0.000 1.980
1.980 0.000 0.000
0.000 0.000 0.000
1.980 1.980 1.980